No. 1
This record from Alexandria describes an optimized crystal structure of Ga3ReBr. The functional is PBE-GGA.

It has space group Pm-3m (No. 221), with a = 5.322 Å, b = 5.322 Å, c = 5.322 Å, α = 90.00°, β = 90.00° and γ = 90.00°. The distinct sites, in fractional coordinates, are Ga at (0.000, 0.000, 0.500), Re at (0.500, 0.500, 0.500) and Br at (0.000, 0.000, 0.000).

As for the density of states at the Fermi level: 0.46 states/eV per atom. The value obtained for the magnetization is 3.64 Bohr magnetons per cell. For the offset from the most stable computed form, the calculation gives 6.46 eV per formula unit.



No. 2
This record from Alexandria describes an optimized crystal structure of ZrCd2As. The functional is PBE-GGA.

It has space group F-43m (No. 216), with a = 6.969 Å, b = 6.969 Å, c = 6.969 Å, α = 90.00°, β = 90.00° and γ = 90.00°. The distinct sites, in fractional coordinates, are Zr at (0.000, 0.000, 0.000), Cd at (0.000, 0.000, 0.500), Cd at (0.250, 0.250, 0.250) and As at (0.250, 0.250, 0.750).

As for the density of states at the Fermi level: 0.82 states/eV per atom. The value obtained for the magnetization is 0.00 Bohr magnetons per cell. As for the formation energy: 0.0180 eV per atom.



No. 3
This record from Alexandria describes an optimized crystal structure of Pa2TeBr. The functional is PBE-GGA.

It has space group R-3m (No. 166, hexagonal axes), with a = 5.4484 Å, b = 5.4484 Å, c = 16.9964 Å, α = 90.00°, β = 90.00° and γ = 120.00°. The distinct sites, in fractional coordinates, are Pa at (0.0000, 0.0000, 0.1690), Te at (0.0000, 0.0000, 0.5000) and Br at (0.0000, 0.0000, 0.0000).

As for the density of states at the Fermi level: 1.78 states/eV per atom. The value obtained for the magnetization is 14.30 Bohr magnetons per cell. For the offset from the most stable computed form, the calculation gives 1.27 eV per formula unit.



No. 4
This record from Alexandria describes an optimized crystal structure of AcSnS4. The functional is PBE-GGA.

It has space group Pmna (No. 53), with a = 5.483 Å, b = 6.899 Å, c = 7.823 Å, α = 90.00°, β = 90.00° and γ = 90.00°. The distinct sites, in fractional coordinates, are Ac at (0.000, 0.000, 0.000), Sn at (0.000, 0.500, 0.500), S at (0.000, 0.176, 0.369) and S at (0.250, 0.316, 0.750).

The total energy comes out at -0.18355 hartree per atom. As for the density of states at the Fermi level: 0.16 states/eV per atom. The value obtained for the magnetization is 0.00 Bohr magnetons per cell.



No. 5
This record from Alexandria describes an optimized crystal structure of Ac4Pr15Y. The functional is PBE-GGA.

It has space group P4/mmm (No. 123), with a = 5.329 Å, b = 5.329 Å, c = 26.556 Å, α = 90.00°, β = 90.00° and γ = 90.00°. The distinct sites, in fractional coordinates, are Ac at (0.000, 0.000, 0.101), Ac at (0.000, 0.000, 0.303), Pr at (0.000, 0.500, 0.000), Pr at (0.000, 0.500, 0.202), Pr at (0.000, 0.500, 0.404), Pr at (0.500, 0.500, 0.101), Pr at (0.500, 0.500, 0.303), Pr at (0.500, 0.500, 0.500) and Y at (0.000, 0.000, 0.500).

As for the density of states at the Fermi level: 1.66 states/eV per atom. The value obtained for the magnetization is 0.00 Bohr magnetons per cell. As for the formation energy: 0.0204 eV per atom.



No. 6
This record from Alexandria describes an optimized crystal structure of Sn2AuS2. The functional is PBE-GGA.

It has space group I4/mmm (No. 139), with a = 5.336 Å, b = 5.336 Å, c = 8.504 Å, α = 90.00°, β = 90.00° and γ = 90.00°. The distinct sites, in fractional coordinates, are Sn at (0.000, 0.000, 0.178), Au at (0.000, 0.000, 0.500) and S at (0.000, 0.500, 0.250).

As for the density of states at the Fermi level: 0.46 states/eV per atom. The value obtained for the magnetization is 0.00 Bohr magnetons per cell. For the offset from the most stable computed form, the calculation gives 0.22 eV per formula unit.



No. 7
This record from Alexandria describes an optimized crystal structure of Tc2IrSe. The functional is PBE-GGA.

It has space group C2/m (No. 12), with a = 5.361 Å, b = 7.939 Å, c = 2.846 Å, α = 90.00°, β = 90.17° and γ = 90.00°. The distinct sites, in fractional coordinates, are Tc at (0.250, 0.250, 0.000), Ir at (0.000, 0.000, 0.500) and Se at (0.000, 0.500, 0.500).

The total energy comes out at -0.28902 hartree per atom. As for the density of states at the Fermi level: 1.39 states/eV per atom. The value obtained for the magnetization is 0.00 Bohr magnetons per cell.



No. 8
This record from Alexandria describes an optimized crystal structure of BaZnSO. The functional is PBE-GGA.

It has space group P3m1 (No. 156), with a = 4.0672 Å, b = 4.0672 Å, c = 6.2037 Å, α = 90.00°, β = 90.00° and γ = 120.00°. The distinct sites, in fractional coordinates, are Ba at (0.0000, 0.0000, 0.0000), Zn at (0.3333, 0.6667, 0.4675), S at (0.6667, 0.3333, 0.6022) and O at (0.3333, 0.6667, 0.1575).

The total energy comes out at -0.17593 hartree per atom. As for the density of states at the Fermi level: 0.00 states/eV per atom. The value obtained for the magnetization is 0.00 Bohr magnetons per cell.